(1)
! Sr3InHg3 (PBE, optimized geometry); values from VASP
! size of the total moment = 0.000 μB per atom
! ΔE_f = -45.75 kJ per mole of atoms
! mass density = 7.07 g/cm³
! calculated total energy = -0.0630 Ha/atom
! crystal system = monoclinic
! excess energy over the best structure of this formula in the dataset = 0.00 eV/f.u.
&SYSTEM
  ibrav = 0, nat = 14, ntyp = 3
/
ATOMIC_SPECIES
In 114.82 In.upf
Hg 200.59 Hg.upf
Sr 87.62 Sr.upf
ATOMIC_POSITIONS crystal
In 0.7620 0.0797 0.3963
In 0.2380 0.9203 0.6037
Hg 0.8829 0.1569 0.0773
Hg 0.1171 0.8431 0.9227
Hg 0.1297 0.2857 0.4548
Hg 0.9778 0.8119 0.2326
Hg 0.0222 0.1881 0.7674
Hg 0.8703 0.7143 0.5452
Sr 0.5273 0.3317 0.6137
Sr 0.7426 0.7458 0.7691
Sr 0.3936 0.2912 0.9216
Sr 0.4727 0.6683 0.3863
Sr 0.6064 0.7088 0.0784
Sr 0.2574 0.2542 0.2309
CELL_PARAMETERS angstrom
4.7657 0.0000 0.7179
2.3450 6.1922 0.6101
0.0862 0.1268 15.6051

(2)
! SbTe2PdN (PBE, optimized geometry); values from VASP
! size of the total moment = 0.000 μB per atom
! mass density = 7.83 g/cm³
! calculated total energy = -0.1503 Ha/atom
! crystal system = tetragonal
! formation energy without anion corrections = 0.694 eV/atom
! excess energy over the best structure of this formula in the dataset = 0.52 eV/f.u.
&SYSTEM
  ibrav = 0, nat = 5, ntyp = 4
/
ATOMIC_SPECIES
Pd 106.42 Pd.upf
Te 127.60 Te.upf
Sb 121.76 Sb.upf
N 14.01 N.upf
ATOMIC_POSITIONS crystal
Pd 0.5000 0.5000 0.5000
Te 0.0000 0.5000 0.0000
Te 0.5000 0.0000 0.0000
Sb 0.0000 0.0000 0.5000
N 0.0000 0.0000 0.0000
CELL_PARAMETERS angstrom
4.7141 0.0000 0.0000
0.0000 4.7141 0.0000
0.0000 0.0000 4.7486

(3)
! InTe2Pd2 (PBE, optimized geometry); values from VASP
! size of the total moment = 0.000 μB per atom
! mass density = 7.66 g/cm³
! calculated total energy = -0.1508 Ha/atom
! crystal system = monoclinic
! formation energy without anion corrections = -0.222 eV/atom
! excess energy over the best structure of this formula in the dataset = 0.01 eV/f.u.
&SYSTEM
  ibrav = 0, nat = 10, ntyp = 3
/
ATOMIC_SPECIES
Pd 106.42 Pd.upf
Te 127.60 Te.upf
In 114.82 In.upf
ATOMIC_POSITIONS crystal
Pd 0.6249 0.3751 0.7500
Pd 0.3751 0.6249 0.2500
Pd 0.8220 0.1780 0.2500
Pd 0.1780 0.8220 0.7500
Te 0.5743 0.7813 0.0290
Te 0.7813 0.5743 0.5290
Te 0.2187 0.4257 0.4710
Te 0.4257 0.2187 0.9710
In 0.8943 0.1057 0.7500
In 0.1057 0.8943 0.2500
CELL_PARAMETERS angstrom
6.7760 0.5036 0.4543
-0.9149 6.7328 0.4543
-2.2249 -2.7470 5.1354

(4)
! CaZrW2 (PBE, optimized geometry); values from VASP
! size of the total moment = 0.000 μB per atom
! ΔE_f = 51.71 kJ per mole of atoms
! mass density = 9.66 g/cm³
! calculated total energy = -0.3152 Ha/atom
! crystal system = monoclinic
! excess energy over the best structure of this formula in the dataset = 0.55 eV/f.u.
&SYSTEM
  ibrav = 0, nat = 4, ntyp = 3
/
ATOMIC_SPECIES
Ca 40.08 Ca.upf
Zr 91.22 Zr.upf
W 183.84 W.upf
ATOMIC_POSITIONS crystal
Ca 0.5000 0.7525 0.7741
Zr 0.0000 0.5137 0.4458
W 0.5000 0.2228 0.2244
W 0.0000 0.0110 0.0557
CELL_PARAMETERS angstrom
-3.6260 -2.0401 1.4115
-0.8289 -0.4668 -2.8040
2.8907 -5.9405 -1.1604

(5)
! LiRu2Cl (PBE, optimized geometry); values from VASP
! size of the total moment = 0.000 μB per atom
! mass density = 5.87 g/cm³
! calculated total energy = -0.2053 Ha/atom
! crystal system = orthorhombic
! formation energy without anion corrections = -0.010 eV/atom
! excess energy over the best structure of this formula in the dataset = 0.19 eV/f.u.
&SYSTEM
  ibrav = 0, nat = 4, ntyp = 3
/
ATOMIC_SPECIES
Li 6.94 Li.upf
Cl 35.45 Cl.upf
Ru 101.07 Ru.upf
ATOMIC_POSITIONS crystal
Li 0.5000 0.5000 0.7241
Cl 0.0000 0.0000 0.6243
Ru 0.5000 0.5000 0.1581
Ru 0.0000 0.0000 0.9936
CELL_PARAMETERS angstrom
2.9332 0.0000 0.0000
0.0000 3.3437 0.0000
0.0000 0.0000 7.0543

(6)
! KHW3 (PBE, optimized geometry); values from VASP
! size of the total moment = 0.000 μB per atom
! mass density = 12.71 g/cm³
! calculated total energy = -0.2543 Ha/atom
! crystal system = cubic
! excess energy over the best structure of this formula in the dataset = 0.00 eV/f.u.
&SYSTEM
  ibrav = 0, nat = 5, ntyp = 3
/
ATOMIC_SPECIES
W 183.84 W.upf
H 1.01 H.upf
K 39.10 K.upf
ATOMIC_POSITIONS crystal
W 0.0000 0.5000 0.0000
W 0.5000 0.0000 0.0000
W 0.0000 0.0000 0.5000
H 0.0000 0.0000 0.0000
K 0.5000 0.5000 0.5000
CELL_PARAMETERS angstrom
-3.7288 -0.3343 2.0321
-0.1343 -4.1549 -0.9300
2.0551 -0.8781 3.6265

(7)
! Y2AlAs (PBE, optimized geometry); values from VASP
! size of the total moment = 0.000 μB per atom
! ΔE_f = -57.29 kJ per mole of atoms
! mass density = 5.01 g/cm³
! calculated total energy = -0.2177 Ha/atom
! crystal system = tetragonal
! excess energy over the best structure of this formula in the dataset = 1.15 eV/f.u.
&SYSTEM
  ibrav = 0, nat = 4, ntyp = 3
/
ATOMIC_SPECIES
Y 88.91 Y.upf
Al 26.98 Al.upf
As 74.92 As.upf
ATOMIC_POSITIONS crystal
Y 0.5000 0.5000 0.0000
Y 0.0000 0.0000 0.0000
Al 0.2500 0.7500 0.5000
As 0.7500 0.2500 0.5000
CELL_PARAMETERS angstrom
5.3295 -0.0063 0.0000
1.1477 5.2044 0.0000
-3.2386 -2.5991 3.3406

(8)
! LiMg2Hg (PBE, optimized geometry); values from VASP
! size of the total moment = 0.000 μB per atom
! ΔE_f = -13.91 kJ per mole of atoms
! mass density = 5.11 g/cm³
! calculated total energy = -0.0550 Ha/atom
! crystal system = monoclinic
&SYSTEM
  ibrav = 0, nat = 4, ntyp = 3
/
ATOMIC_SPECIES
Li 6.94 Li.upf
Mg 24.30 Mg.upf
Hg 200.59 Hg.upf
ATOMIC_POSITIONS crystal
Li 0.5000 0.7500 0.7500
Mg 0.0000 0.0180 0.0011
Mg 0.0000 0.4820 0.4989
Hg 0.5000 0.2500 0.2500
CELL_PARAMETERS angstrom
-3.5208 -2.5749 -1.7886
0.9035 -2.4149 1.6980
-3.0780 0.8116 4.8905